## MgAl2Au6 (PBE)

Data for crystalline MgAl2Au6 at its relaxed geometry.

Results
As for the energy above the most stable polymorph in this dataset: 0.0 meV per atom. The energy of formation is -2.99 eV per formula unit. For the total DFT energy (no corrections), the calculation gives -0.1296 Ha/atom.

abc: 8.006 8.006 5.112
angles: 93.82 93.82 74.30
Fractional coordinates of all 18 atoms:
Mg  0.114  0.886  0.750
Mg  0.886  0.114  0.250
Al  0.214  0.456  0.903
Al  0.456  0.214  0.403
Al  0.544  0.786  0.597
Al  0.786  0.544  0.097
Au  0.018  0.749  0.192
Au  0.102  0.355  0.324
Au  0.251  0.982  0.308
Au  0.318  0.577  0.492
Au  0.355  0.102  0.824
Au  0.423  0.682  0.008
Au  0.577  0.318  0.992
Au  0.645  0.898  0.176
Au  0.682  0.423  0.508
Au  0.749  0.018  0.692
Au  0.898  0.645  0.676
Au  0.982  0.251  0.808